1) The following is a PBE+U calculation of a relaxed structure of Mg6TiVO8, from Alexandria via LeMat-Bulk.

Structure (CIF):
```
data_Mg6TiVO8
_chemical_formula_sum 'Mg6 Ti1 V1 O8'
_cell_length_a 4.292
_cell_length_b 4.292
_cell_length_c 8.652
_cell_angle_alpha 90.00
_cell_angle_beta 90.00
_cell_angle_gamma 90.00
_symmetry_space_group_name_H-M 'P 4/m m m'
_symmetry_Int_Tables_number 123
_symmetry_space_group_name_Hall '-P 4 2'
loop_
_atom_site_label
_atom_site_fract_x
_atom_site_fract_y
_atom_site_fract_z
Mg1 0.000 0.000 0.000
Mg2 0.000 0.500 0.246
Mg3 0.500 0.500 0.000
Ti1 0.000 0.000 0.500
V1 0.500 0.500 0.500
O1 0.000 0.000 0.243
O2 0.000 0.500 0.000
O3 0.000 0.500 0.500
O4 0.500 0.500 0.246
```

Density (Mg/m³): 3.882
Crystal system: tetragonal
Magnetization (μB per cell): 4.259



2) The following is a PBE+U calculation of a relaxed structure of Mg6TiVO8, from Alexandria via LeMat-Bulk.

Structure (CIF):
```
data_Mg6TiVO8
_chemical_formula_sum 'Mg6 Ti1 V1 O8'
_cell_length_a 4.304
_cell_length_b 4.304
_cell_length_c 8.660
_cell_angle_alpha 90.00
_cell_angle_beta 90.00
_cell_angle_gamma 90.00
_symmetry_space_group_name_H-M 'P 4/m m m'
_symmetry_Int_Tables_number 123
_symmetry_space_group_name_Hall '-P 4 2'
loop_
_atom_site_label
_atom_site_fract_x
_atom_site_fract_y
_atom_site_fract_z
Mg1 0.000 0.000 0.000
Mg2 0.000 0.000 0.500
Mg3 0.000 0.500 0.249
Ti1 0.500 0.500 0.500
V1 0.500 0.500 0.000
O1 0.000 0.000 0.250
O2 0.000 0.500 0.000
O3 0.000 0.500 0.500
O4 0.500 0.500 0.249
```

Density (Mg/m³): 3.856
Crystal system: tetragonal
Magnetization (μB per cell): 4.968



Relative to the most stable structure, the computed energies are 1) 0; 2) 6, all in meV/atom.



1) The following is a PBE+U calculation of a relaxed structure of MgTi3V5O16, from Alexandria via LeMat-Bulk.

Structure (CIF):
```
data_MgTi3V5O16
_chemical_formula_sum 'Mg1 Ti3 V5 O16'
_cell_length_a 5.912
_cell_length_b 5.948
_cell_length_c 9.375
_cell_angle_alpha 89.69
_cell_angle_beta 89.23
_cell_angle_gamma 60.39
_symmetry_space_group_name_H-M 'P 1'
_symmetry_Int_Tables_number 1
loop_
_symmetry_equiv_pos_as_xyz
'x,y,z'
loop_
_atom_site_label
_atom_site_fract_x
_atom_site_fract_y
_atom_site_fract_z
Mg1 0.000 0.000 0.000
Ti1 0.495 0.003 0.810
Ti2 0.865 0.781 0.328
Ti3 0.999 0.516 0.821
V1 0.013 0.996 0.589
V2 0.340 0.325 0.104
V3 0.345 0.831 0.315
V4 0.518 0.493 0.814
V5 0.817 0.312 0.332
O1 0.001 0.987 0.209
O2 0.005 0.476 0.218
O3 0.148 0.131 0.444
O4 0.152 0.701 0.440
O5 0.188 0.186 0.947
O6 0.193 0.626 0.946
O7 0.332 0.836 0.719
O8 0.334 0.333 0.715
O9 0.500 0.487 0.218
O10 0.501 0.984 0.217
O11 0.629 0.184 0.946
O12 0.669 0.653 0.426
O13 0.670 0.668 0.922
O14 0.715 0.134 0.447
O15 0.831 0.334 0.719
O16 0.841 0.835 0.718
```

Density (Mg/m³): 3.932
Crystal system: triclinic
Magnetization (μB per cell): 7.000



2) The following is a PBE+U calculation of a relaxed structure of MgTi3V5O16, from Alexandria via LeMat-Bulk.

Structure (CIF):
```
data_MgTi3V5O16
_chemical_formula_sum 'Mg1 Ti3 V5 O16'
_cell_length_a 5.904
_cell_length_b 5.919
_cell_length_c 9.868
_cell_angle_alpha 80.37
_cell_angle_beta 81.23
_cell_angle_gamma 61.03
_symmetry_space_group_name_H-M 'P 1'
_symmetry_Int_Tables_number 1
loop_
_symmetry_equiv_pos_as_xyz
'x,y,z'
loop_
_atom_site_label
_atom_site_fract_x
_atom_site_fract_y
_atom_site_fract_z
Mg1 0.000 0.000 0.000
Ti1 0.006 0.466 0.237
Ti2 0.228 0.217 0.716
Ti3 0.481 0.969 0.248
V1 0.210 0.699 0.741
V2 0.441 0.419 0.465
V3 0.674 0.672 0.934
V4 0.698 0.235 0.731
V5 0.966 0.958 0.284
O1 0.057 0.058 0.651
O2 0.116 0.533 0.613
O3 0.129 0.672 0.142
O4 0.156 0.125 0.150
O5 0.296 0.260 0.350
O6 0.300 0.759 0.361
O7 0.347 0.851 0.868
O8 0.360 0.343 0.842
O9 0.551 0.098 0.618
O10 0.568 0.531 0.623
O11 0.689 0.641 0.114
O12 0.691 0.092 0.145
O13 0.793 0.739 0.353
O14 0.795 0.248 0.365
O15 0.853 0.863 0.863
O16 0.861 0.344 0.863
```

Density (Mg/m³): 3.801
Crystal system: triclinic
Magnetization (μB per cell): 7.000



Relative to the most stable structure, the computed energies are 1) 0; 2) 53, all in meV/atom.